Run i
VASP calculation (meta-GGA SCAN) on YAgSe at its PBEsol-relaxed geometry.

- total magnetic moment (μB/cell) = 0.0
- volume (Å³ per atom) = 23.6

a b c (Å): 6.568 6.568 6.568
angles (deg): 90.00 90.00 90.00
Space group F-43m (No. 216)
One atom of each set of equivalent atoms:
1 Y 0.000 0.000 0.000 [4 per cell]
2 Ag 0.000 0.000 0.500 [4 per cell]
3 Se 0.250 0.250 0.750 [4 per cell]

Run ii
VASP calculation (meta-GGA SCAN) on YAgSe at its PBEsol-relaxed geometry.

- total magnetic moment (μB/cell) = 0.0
- volume (Å³ per atom) = 24.0

a b c (Å): 4.0224 4.0224 5.1293
angles (deg): 90.00 90.00 120.00
Space group P3m1 (No. 156)
One atom of each set of equivalent atoms:
1 Y 0.0000 0.0000 0.0000 [1 per cell]
2 Ag 0.3333 0.6667 0.6230 [1 per cell]
3 Se 0.6667 0.3333 0.3140 [1 per cell]

Which structure wins on stability? run ii wins.